DyBiAs: relaxed, GGA-PBE.

Computed properties:
Magnetization: 0.00 Bohr magnetons per cell
E_tot: -4.970 eV per atom

```
data_DyBiAs
_chemical_formula_sum 'Dy2 Bi2 As2'
_cell_length_a 4.7947
_cell_length_b 4.7947
_cell_length_c 10.3689
_cell_angle_alpha 76.63
_cell_angle_beta 76.63
_cell_angle_gamma 60.00
_space_group_name_H-M_alt 'P 1'
_space_group_IT_number 1
loop_
_space_group_symop_operation_xyz
'x,y,z'
loop_
_atom_site_label
_atom_site_fract_x
_atom_site_fract_y
_atom_site_fract_z
_atom_site_occupancy
Dy1 0.3798 0.3798 0.8606 1
Dy2 0.6202 0.6202 0.1394 1
As1 0.2847 0.2847 0.1459 1
Bi1 0.1402 0.1402 0.5793 1
Bi2 0.8598 0.8598 0.4207 1
As2 0.7153 0.7153 0.8541 1
```

Dy4Bi3As: relaxed, GGA-PBE.

Computed properties:
Magnetization: 0.00 Bohr magnetons per cell
E_tot: -5.332 eV per atom
DOS at the Fermi energy: 0.158 states/eV per atom

```
data_Dy4Bi3As
_chemical_formula_sum 'Dy4 Bi3 As1'
_cell_length_a 4.3708
_cell_length_b 7.6121
_cell_length_c 7.6121
_cell_angle_alpha 109.25
_cell_angle_beta 90.00
_cell_angle_gamma 90.00
_space_group_name_H-M_alt 'P 1'
_space_group_IT_number 1
loop_
_space_group_symop_operation_xyz
'x,y,z'
loop_
_atom_site_label
_atom_site_fract_x
_atom_site_fract_y
_atom_site_fract_z
_atom_site_occupancy
Dy1 0.0000 0.7662 0.7662 1
Dy2 0.5000 0.2413 0.7587 1
Dy3 0.0000 0.2338 0.2338 1
Dy4 0.5000 0.7587 0.2413 1
As1 0.5000 0.0000 0.0000 1
Bi1 0.5000 0.5000 0.5000 1
Bi2 0.0000 0.5000 0.0000 1
Bi3 0.0000 0.0000 0.5000 1
```

- Which formula does entry 2 have?
  Dy4Bi3As